A crystal of CaYFe2 relaxed with PBEsol. Source: the Alexandria database, functional meta-GGA SCAN.

Crystal system   cubic
N(E_F)   5.38 states/eV/f.u.
Space group   F-43m (216)
DFT total energy   -17.862 eV per atom

Structure (CIF):
```
data_CaYFe2
_chemical_formula_sum 'Ca1 Y1 Fe2'
_symmetry_space_group_name_H-M 'P 1'
_symmetry_Int_Tables_number 1
_cell_length_a 4.691
_cell_length_b 4.691
_cell_length_c 4.691
_cell_angle_alpha 60.00
_cell_angle_beta 60.00
_cell_angle_gamma 60.00
loop_
_symmetry_equiv_pos_as_xyz
'x,y,z'
loop_
_atom_site_label
_atom_site_fract_x
_atom_site_fract_y
_atom_site_fract_z
Ca1 0.500 0.500 0.500
Fe1 0.750 0.750 0.750
Y1 0.250 0.250 0.250
Fe2 0.000 0.000 0.000
```